No. 1
Material: HoTm2Th
Method: DFT, PBE-GGA
State: relaxed

Lattice parameters (Å, degrees): 3.5244 3.5244 9.9925 90.00 90.00 90.00
Fractional positions:
Ho1 0.0000 0.0000 0.0000
Tm1 0.5000 0.5000 0.2530
Tm2 0.5000 0.5000 0.7470
Th1 0.0000 0.0000 0.5000

Output
Relative energy among the computed polymorphs   0.0000 eV/atom
Energy of formation from the pure elements   0.024 eV/atom
Theoretical density   9.8 g/cm3
Magnetic moment   0.000 Bohr magnetons per cell


No. 2
Material: Ho2TmTh5
Method: DFT, PBE-GGA
State: relaxed

Lattice parameters (Å, degrees): 7.1190 14.2746 5.0139 90.00 90.00 90.00
Fractional positions:
Ho1 0.2485 0.1247 0.0000
Ho2 0.2515 0.6247 0.0000
Ho3 0.7485 0.3753 0.0000
Ho4 0.7515 0.8753 0.0000
Tm1 0.0000 0.0000 0.5000
Tm2 0.5000 0.5000 0.5000
Th1 0.0000 0.5000 0.5000
Th2 0.0020 0.7503 0.5000
Th3 0.2455 0.3731 0.0000
Th4 0.2545 0.8731 0.0000
Th5 0.4980 0.2503 0.5000
Th6 0.5000 0.0000 0.5000
Th7 0.5020 0.7497 0.5000
Th8 0.7455 0.1269 0.0000
Th9 0.7545 0.6269 0.0000
Th10 0.9980 0.2497 0.5000

Output
Energy of formation from the pure elements   0.051 eV/atom
Theoretical density   10.8 g/cm3
Magnetic moment   0.000 Bohr magnetons per cell


No. 3
Material: Ho6TmTh
Method: DFT, PBE-GGA
State: relaxed

Lattice parameters (Å, degrees): 5.0055 5.0055 9.9218 90.00 90.00 90.00
Fractional positions:
Ho1 0.0000 0.0000 0.0000
Ho2 0.0000 0.0000 0.5000
Ho3 0.0000 0.5000 0.2490
Ho4 0.0000 0.5000 0.7510
Ho5 0.5000 0.0000 0.2490
Ho6 0.5000 0.0000 0.7510
Tm1 0.5000 0.5000 0.5000
Th1 0.5000 0.5000 0.0000

Output
Relative energy among the computed polymorphs   0.0000 eV/atom
Energy of formation from the pure elements   0.034 eV/atom
Theoretical density   9.3 g/cm3
Magnetic moment   0.000 Bohr magnetons per cell


No. 4
Material: Ho5Tm5Th
Method: DFT, PBE-GGA
State: relaxed

Lattice parameters (Å, degrees): 5.9563 5.9563 11.6319 90.00 90.00 120.00
Fractional positions:
Ho1 0.0000 0.0000 0.0000
Ho2 0.3333 0.6667 0.3207
Ho3 0.3333 0.6667 0.6793
Ho4 0.6667 0.3333 0.1497
Ho5 0.6667 0.3333 0.8503
Tm1 0.0000 0.0000 0.2639
Tm2 0.0000 0.0000 0.7361
Tm3 0.3333 0.1666 0.5000
Tm4 0.8334 0.1666 0.5000
Tm5 0.8334 0.6667 0.5000
Th1 0.3333 0.6667 0.0000

Output
Energy of formation from the pure elements   0.350 eV/atom
Theoretical density   8.8 g/cm3
Magnetic moment   0.042 Bohr magnetons per cell


No. 5
Material: Ho7Tm12Th
Method: DFT, PBE-GGA
State: relaxed

Lattice parameters (Å, degrees): 9.6356 9.6356 9.6356 109.47 109.47 109.47
Fractional positions:
Ho1 0.0000 0.0000 0.5000
Ho2 0.0000 0.5000 0.0000
Ho3 0.0000 0.5000 0.5000
Ho4 0.5000 0.0000 0.0000
Ho5 0.5000 0.0000 0.5000
Ho6 0.5000 0.5000 0.0000
Ho7 0.5000 0.5000 0.5000
Tm1 0.0000 0.2471 0.7529
Tm2 0.0000 0.7529 0.2471
Tm3 0.2471 0.0000 0.7529
Tm4 0.2471 0.2471 0.4942
Tm5 0.2471 0.4942 0.2471
Tm6 0.2471 0.7529 0.0000
Tm7 0.4942 0.2471 0.2471
Tm8 0.5058 0.7529 0.7529
Tm9 0.7529 0.0000 0.2471
Tm10 0.7529 0.2471 0.0000
Tm11 0.7529 0.5058 0.7529
Tm12 0.7529 0.7529 0.5058
Th1 0.0000 0.0000 0.0000

Output
Relative energy among the computed polymorphs   0.5391 eV/atom
Energy of formation from the pure elements   0.780 eV/atom
Theoretical density   8.2 g/cm3
Magnetic moment   0.000 Bohr magnetons per cell


No. 6
Material: HoTmTh2
Method: DFT, PBE-GGA
State: relaxed

Lattice parameters (Å, degrees): 3.5563 3.5563 34.2838 90.00 90.00 120.00
Fractional positions:
Ho1 0.0000 0.0000 0.0000
Ho2 0.3333 0.6667 0.6667
Ho3 0.6667 0.3333 0.3333
Tm1 0.0000 0.0000 0.5000
Tm2 0.3333 0.6667 0.1667
Tm3 0.6667 0.3333 0.8333
Th1 0.0000 0.0000 0.2498
Th2 0.0000 0.0000 0.7502
Th3 0.3333 0.6667 0.4169
Th4 0.3333 0.6667 0.9164
Th5 0.6667 0.3333 0.0836
Th6 0.6667 0.3333 0.5831

Output
Relative energy among the computed polymorphs   0.0000 eV/atom
Energy of formation from the pure elements   0.031 eV/atom
Theoretical density   10.6 g/cm3
Magnetic moment   0.000 Bohr magnetons per cell